(1)
! GGA-PBE Na2AlSi3HO9, relaxed; values from VASP
&SYSTEM
  ibrav = 0, nat = 32, ntyp = 5
/
ATOMIC_SPECIES
Si 28.09 Si.upf
O 16.00 O.upf
Na 22.99 Na.upf
Al 26.98 Al.upf
H 1.01 H.upf
CELL_PARAMETERS angstrom
7.272 0.001 -0.003
3.168 6.632 0.006
1.653 0.841 8.582
ATOMIC_POSITIONS crystal
Si 0.585 0.094 0.692
O 0.024 0.422 0.208
O 0.001 0.725 0.346
O 0.527 0.332 0.650
Na 0.239 0.587 0.558
O 0.862 0.135 0.282
Na 0.613 0.218 0.055
O 0.138 0.865 0.718
O 0.356 0.506 0.179
O 0.999 0.275 0.654
O 0.963 0.240 0.965
O 0.704 0.997 0.848
O 0.380 0.041 0.728
O 0.296 0.003 0.152
O 0.734 0.960 0.548
Na 0.761 0.413 0.442
Si 0.896 0.401 0.813
Al 0.046 0.197 0.148
Si 0.805 0.948 0.362
H 0.410 0.572 0.250
O 0.976 0.578 0.792
H 0.590 0.428 0.750
O 0.620 0.959 0.272
O 0.037 0.760 0.035
Si 0.415 0.906 0.308
O 0.473 0.668 0.350
Na 0.387 0.782 0.945
Si 0.104 0.599 0.187
Al 0.954 0.803 0.852
Si 0.195 0.052 0.638
O 0.266 0.040 0.452
O 0.644 0.494 0.821
! spin magnetization = 0.00 μB per formula unit
! uncorrected energy = -6.96 eV/atom



(2)
! GGA-PBE NaAl3Si3H2O12, relaxed; values from VASP
&SYSTEM
  ibrav = 0, nat = 84, ntyp = 5
/
ATOMIC_SPECIES
Si 28.09 Si.upf
O 16.00 O.upf
H 1.01 H.upf
Na 22.99 Na.upf
Al 26.98 Al.upf
CELL_PARAMETERS angstrom
5.190 0.000 0.093
0.000 9.014 0.000
-1.083 0.000 19.646
ATOMIC_POSITIONS crystal
Si 0.047 0.433 0.860
O 0.758 0.302 0.662
H 0.352 0.345 0.060
O 0.295 0.128 0.328
Si 0.425 0.932 0.640
Si 0.575 0.932 0.860
O 0.356 0.912 0.175
O 0.758 0.698 0.162
Si 0.575 0.068 0.360
O 0.123 0.751 0.944
Si 0.047 0.567 0.360
O 0.045 0.550 0.444
O 0.142 0.406 0.328
Na 0.000 0.858 0.250
Si 0.953 0.567 0.140
O 0.242 0.302 0.838
Al 0.249 0.915 0.001
O 0.356 0.088 0.675
Si 0.425 0.068 0.140
O 0.789 0.806 0.839
O 0.142 0.594 0.828
Al 0.751 0.085 0.999
O 0.877 0.751 0.556
Al 0.253 0.585 0.000
O 0.764 0.603 0.325
O 0.045 0.450 0.944
O 0.644 0.088 0.825
Na 0.500 0.559 0.750
O 0.444 0.436 0.051
O 0.764 0.397 0.825
H 0.138 0.145 0.930
O 0.236 0.397 0.675
O 0.955 0.550 0.056
O 0.631 0.251 0.949
Si 0.086 0.759 0.861
Al 0.249 0.085 0.501
Al 0.747 0.415 0.000
O 0.369 0.251 0.551
H 0.138 0.855 0.430
Si 0.953 0.433 0.640
O 0.450 0.055 0.057
O 0.944 0.059 0.551
O 0.211 0.806 0.661
O 0.631 0.749 0.449
O 0.955 0.450 0.556
Al 0.565 0.739 0.361
O 0.944 0.941 0.051
O 0.550 0.945 0.943
H 0.352 0.655 0.560
O 0.789 0.194 0.339
O 0.705 0.128 0.172
O 0.123 0.249 0.444
O 0.242 0.698 0.338
Si 0.086 0.241 0.361
H 0.862 0.855 0.070
O 0.056 0.059 0.949
Al 0.565 0.261 0.861
Al 0.435 0.261 0.639
Al 0.435 0.739 0.139
H 0.648 0.655 0.940
Si 0.914 0.759 0.639
O 0.056 0.941 0.449
O 0.858 0.406 0.172
O 0.550 0.055 0.443
O 0.236 0.603 0.175
Na 0.500 0.441 0.250
O 0.556 0.564 0.949
O 0.450 0.945 0.557
O 0.877 0.249 0.056
O 0.295 0.872 0.828
H 0.862 0.145 0.570
O 0.211 0.194 0.161
Al 0.253 0.415 0.500
Na 0.000 0.142 0.750
H 0.648 0.345 0.440
O 0.858 0.594 0.672
O 0.705 0.872 0.672
Al 0.751 0.915 0.499
O 0.444 0.564 0.551
Si 0.914 0.241 0.139
O 0.556 0.436 0.449
Al 0.747 0.585 0.500
O 0.369 0.749 0.051
O 0.644 0.912 0.325
! spin magnetization = 0.00 μB per formula unit
! uncorrected energy = -7.12 eV/atom



(3)
! GGA-PBE NaAlH6Os, relaxed; values from VASP
&SYSTEM
  ibrav = 0, nat = 9, ntyp = 4
/
ATOMIC_SPECIES
Os 190.23 Os.upf
Na 22.99 Na.upf
H 1.01 H.upf
Al 26.98 Al.upf
CELL_PARAMETERS angstrom
4.419 0.000 0.000
2.210 3.827 0.000
0.000 0.000 5.284
ATOMIC_POSITIONS crystal
Os 0.333 0.333 0.500
Na 0.000 0.000 0.000
H 0.634 0.326 0.706
Al 0.667 0.667 0.500
H 0.326 0.634 0.294
H 0.040 0.326 0.294
H 0.040 0.634 0.706
H 0.634 0.040 0.294
H 0.326 0.040 0.706
! spin magnetization = 0.00 μB per formula unit
! uncorrected energy = -4.26 eV/atom



(4)
! GGA-PBE NaAlPH2, relaxed; values from VASP
&SYSTEM
  ibrav = 0, nat = 10, ntyp = 4
/
ATOMIC_SPECIES
Na 22.99 Na.upf
H 1.01 H.upf
Al 26.98 Al.upf
P 30.97 P.upf
CELL_PARAMETERS angstrom
-0.943 0.363 -3.678
-4.851 0.152 3.236
0.518 6.242 0.483
ATOMIC_POSITIONS crystal
Na 0.724 0.448 0.750
H 0.850 0.701 0.054
Al 0.000 0.000 0.000
Al 0.000 0.000 0.500
Na 0.276 0.552 0.250
H 0.850 0.701 0.446
P 0.549 0.098 0.250
P 0.451 0.902 0.750
H 0.150 0.299 0.946
H 0.150 0.299 0.554
! spin magnetization = 0.00 μB per formula unit
! uncorrected energy = -3.50 eV/atom



(5)
! GGA-PBE NaAlH6Pb, relaxed; values from VASP
&SYSTEM
  ibrav = 0, nat = 9, ntyp = 4
/
ATOMIC_SPECIES
Al 26.98 Al.upf
H 1.01 H.upf
Na 22.99 Na.upf
Pb 207.20 Pb.upf
CELL_PARAMETERS angstrom
5.266 0.001 0.000
2.634 4.560 0.000
0.000 -0.001 4.657
ATOMIC_POSITIONS crystal
Al 0.333 0.333 0.500
H 0.608 0.063 0.278
H 0.063 0.330 0.278
H 0.329 0.608 0.278
Na 0.667 0.667 0.500
H 0.608 0.329 0.722
H 0.329 0.063 0.722
H 0.063 0.608 0.722
Pb 0.000 0.000 0.000
! spin magnetization = 0.00 μB per formula unit
! uncorrected energy = -3.13 eV/atom



(6)
! GGA-PBE NaAlH2Pd, relaxed; values from VASP
&SYSTEM
  ibrav = 0, nat = 5, ntyp = 4
/
ATOMIC_SPECIES
H 1.01 H.upf
Al 26.98 Al.upf
Pd 106.42 Pd.upf
Na 22.99 Na.upf
CELL_PARAMETERS angstrom
-0.703 1.910 3.228
-4.434 -2.244 0.362
1.592 -2.822 2.016
ATOMIC_POSITIONS crystal
H 0.500 0.000 0.000
Al 0.000 0.000 0.000
Pd 0.000 0.500 0.000
Na 0.500 0.500 0.500
H 0.000 0.000 0.500
! spin magnetization = 0.00 μB per formula unit
! uncorrected energy = -3.23 eV/atom



(7)
! GGA-PBE Na2PmAlH8, relaxed; values from VASP
&SYSTEM
  ibrav = 0, nat = 12, ntyp = 4
/
ATOMIC_SPECIES
Na 22.99 Na.upf
H 1.01 H.upf
Pm 145.00 Pm.upf
Al 26.98 Al.upf
CELL_PARAMETERS angstrom
-4.146 1.728 -0.683
-1.870 -3.586 2.324
-0.365 1.463 5.946
ATOMIC_POSITIONS crystal
Na 0.500 0.389 0.787
H 0.253 0.855 0.858
H 0.000 0.332 0.737
Pm 0.000 0.000 0.500
H 0.500 0.787 0.503
H 0.748 0.852 0.858
H 0.252 0.148 0.142
H 0.000 0.668 0.263
Na 0.500 0.611 0.213
H 0.500 0.213 0.497
Al 0.000 0.000 0.000
H 0.747 0.145 0.142
! spin magnetization = 0.00 μB per formula unit
! uncorrected energy = -3.38 eV/atom



(8)
! GGA-PBE Na2PrAlH8, relaxed; values from VASP
&SYSTEM
  ibrav = 0, nat = 12, ntyp = 4
/
ATOMIC_SPECIES
H 1.01 H.upf
Na 22.99 Na.upf
Al 26.98 Al.upf
Pr 140.91 Pr.upf
CELL_PARAMETERS angstrom
4.601 -0.002 -0.040
0.000 4.579 0.799
0.046 1.059 6.135
ATOMIC_POSITIONS crystal
H 0.750 0.853 0.861
Na 0.500 0.618 0.213
Al 0.000 0.000 0.000
H 0.501 0.215 0.496
Pr 0.000 0.000 0.500
H 0.252 0.856 0.861
H 0.499 0.785 0.504
H 0.250 0.147 0.139
H 0.000 0.661 0.262
H 0.748 0.144 0.139
Na 0.500 0.382 0.787
H 0.000 0.339 0.738
! spin magnetization = 0.00 μB per formula unit
! uncorrected energy = -3.38 eV/atom



(9)
! GGA-PBE RbNa2AlH6, relaxed; values from VASP
&SYSTEM
  ibrav = 0, nat = 10, ntyp = 4
/
ATOMIC_SPECIES
H 1.01 H.upf
Rb 85.47 Rb.upf
Na 22.99 Na.upf
Al 26.98 Al.upf
CELL_PARAMETERS angstrom
6.031 0.362 0.261
3.119 5.175 0.261
3.119 1.887 4.826
ATOMIC_POSITIONS crystal
H 0.197 0.666 0.997
Rb 0.459 0.459 0.459
H 0.666 0.997 0.197
H 0.005 0.895 0.365
H 0.895 0.365 0.005
H 0.997 0.197 0.666
Na 0.689 0.689 0.689
H 0.365 0.005 0.895
Al 0.016 0.016 0.016
Na 0.213 0.213 0.213
! spin magnetization = 0.00 μB per formula unit
! uncorrected energy = -2.91 eV/atom



(10)
! GGA-PBE NaAlH2Rh, relaxed; values from VASP
&SYSTEM
  ibrav = 0, nat = 5, ntyp = 4
/
ATOMIC_SPECIES
H 1.01 H.upf
Rh 102.91 Rh.upf
Na 22.99 Na.upf
Al 26.98 Al.upf
CELL_PARAMETERS angstrom
-0.131 -0.385 3.878
-4.503 -0.884 -0.240
0.766 -3.806 -0.352
ATOMIC_POSITIONS crystal
H 0.500 0.000 0.000
H 0.000 0.000 0.500
Rh 0.000 0.000 0.000
Na 0.500 0.500 0.500
Al 0.000 0.500 0.000
! spin magnetization = 0.00 μB per formula unit
! uncorrected energy = -3.66 eV/atom



(11)
! GGA-PBE Na2AlSbH, relaxed; values from VASP
&SYSTEM
  ibrav = 0, nat = 5, ntyp = 4
/
ATOMIC_SPECIES
H 1.01 H.upf
Na 22.99 Na.upf
Al 26.98 Al.upf
Sb 121.76 Sb.upf
CELL_PARAMETERS angstrom
-1.007 1.185 -4.129
1.852 -3.707 -1.516
-4.320 -2.318 0.388
ATOMIC_POSITIONS crystal
H 0.000 0.000 0.000
Na 0.500 0.000 0.000
Na 0.000 0.500 0.000
Al 0.000 0.000 0.500
Sb 0.500 0.500 0.500
! spin magnetization = 0.00 μB per formula unit
! uncorrected energy = -2.88 eV/atom



(12)
! GGA-PBE NaSc2AlH, relaxed; values from VASP
&SYSTEM
  ibrav = 0, nat = 5, ntyp = 4
/
ATOMIC_SPECIES
Na 22.99 Na.upf
H 1.01 H.upf
Sc 44.96 Sc.upf
Al 26.98 Al.upf
CELL_PARAMETERS angstrom
5.281 0.000 0.000
0.000 4.790 0.000
0.000 0.000 5.281
ATOMIC_POSITIONS crystal
Na 0.000 0.000 0.000
H 0.500 0.500 0.500
Sc 0.500 0.000 0.000
Sc 0.000 0.000 0.500
Al 0.000 0.500 0.000
! spin magnetization = 0.00 μB per formula unit
! uncorrected energy = -2.75 eV/atom



(13)
! GGA-PBE Na2SrAlH6, relaxed; values from VASP
&SYSTEM
  ibrav = 0, nat = 20, ntyp = 4
/
ATOMIC_SPECIES
Sr 87.62 Sr.upf
Al 26.98 Al.upf
H 1.01 H.upf
Na 22.99 Na.upf
CELL_PARAMETERS angstrom
5.209 0.000 0.000
0.000 6.691 0.000
0.000 0.000 7.762
ATOMIC_POSITIONS crystal
Sr 0.000 0.657 0.500
Al 0.500 0.178 0.500
H 0.753 0.346 0.500
H 0.747 0.654 0.000
Al 0.000 0.822 0.000
H 0.253 0.654 0.000
Na 0.500 0.846 0.790
H 0.000 0.829 0.773
H 0.734 0.977 0.500
Sr 0.500 0.343 0.000
H 0.000 0.829 0.227
H 0.266 0.977 0.500
H 0.234 0.023 0.000
H 0.500 0.171 0.727
Na 0.000 0.154 0.290
Na 0.500 0.846 0.210
Na 0.000 0.154 0.710
H 0.766 0.023 0.000
H 0.500 0.171 0.273
H 0.247 0.346 0.500
! spin magnetization = 0.89 μB per formula unit
! uncorrected energy = -2.98 eV/atom



(14)
! GGA-PBE Na2SrAlH8, relaxed; values from VASP
&SYSTEM
  ibrav = 0, nat = 12, ntyp = 4
/
ATOMIC_SPECIES
H 1.01 H.upf
Sr 87.62 Sr.upf
Na 22.99 Na.upf
Al 26.98 Al.upf
CELL_PARAMETERS angstrom
-5.172 0.183 -0.609
-0.441 0.630 4.231
0.080 6.250 1.411
ATOMIC_POSITIONS crystal
H 0.000 0.363 0.742
H 0.000 0.637 0.258
H 0.764 0.151 0.131
H 0.237 0.157 0.131
H 0.236 0.849 0.869
Sr 0.000 0.000 0.500
Na 0.498 0.637 0.190
H 0.500 0.901 0.498
Na 0.502 0.363 0.810
Al 0.000 0.000 0.000
H 0.500 0.099 0.502
H 0.763 0.843 0.869
! spin magnetization = 0.00 μB per formula unit
! uncorrected energy = -3.09 eV/atom



(15)
! GGA-PBE NaTiAl2H, relaxed; values from VASP
&SYSTEM
  ibrav = 0, nat = 5, ntyp = 4
/
ATOMIC_SPECIES
Ti 47.87 Ti.upf
Al 26.98 Al.upf
Na 22.99 Na.upf
H 1.01 H.upf
CELL_PARAMETERS angstrom
-1.804 0.762 3.866
2.635 -2.459 1.715
2.709 3.328 0.609
ATOMIC_POSITIONS crystal
Ti 0.000 0.500 0.000
Al 0.500 0.000 0.000
Na 0.500 0.500 0.500
Al 0.000 0.000 0.500
H 0.000 0.000 0.000
! spin magnetization = 0.00 μB per formula unit
! uncorrected energy = -3.81 eV/atom



(16)
! GGA-PBE Na2AlTlH, relaxed; values from VASP
&SYSTEM
  ibrav = 0, nat = 5, ntyp = 4
/
ATOMIC_SPECIES
Na 22.99 Na.upf
Tl 204.38 Tl.upf
Al 26.98 Al.upf
H 1.01 H.upf
CELL_PARAMETERS angstrom
-4.450 -1.779 -0.092
1.777 -4.450 0.124
-0.118 0.072 4.276
ATOMIC_POSITIONS crystal
Na 0.500 0.000 0.000
Na 0.000 0.500 0.000
Tl 0.500 0.500 0.500
Al 0.000 0.000 0.500
H 0.000 0.000 0.000
! spin magnetization = 0.00 μB per formula unit
! uncorrected energy = -2.33 eV/atom



(17)
! GGA-PBE NaAlZnH6, relaxed; values from VASP
&SYSTEM
  ibrav = 0, nat = 18, ntyp = 4
/
ATOMIC_SPECIES
H 1.01 H.upf
Zn 65.41 Zn.upf
Al 26.98 Al.upf
Na 22.99 Na.upf
CELL_PARAMETERS angstrom
4.684 0.000 0.000
-2.342 4.056 0.000
0.000 0.000 9.736
ATOMIC_POSITIONS crystal
H 0.631 0.644 0.648
H 0.356 0.987 0.648
H 0.987 0.356 0.148
Zn 0.667 0.333 0.750
Al 0.333 0.667 0.750
Al 0.667 0.333 0.250
H 0.644 0.013 0.352
H 0.013 0.644 0.852
H 0.369 0.013 0.148
H 0.987 0.631 0.352
H 0.013 0.369 0.648
H 0.631 0.987 0.852
Na 0.000 0.000 0.500
Zn 0.333 0.667 0.250
Na 0.000 0.000 0.000
H 0.644 0.631 0.148
H 0.369 0.356 0.352
H 0.356 0.369 0.852
! spin magnetization = 0.00 μB per formula unit
! uncorrected energy = -2.97 eV/atom



(18)
! GGA-PBE Nb3AlH2, relaxed; values from VASP
&SYSTEM
  ibrav = 0, nat = 12, ntyp = 3
/
ATOMIC_SPECIES
Al 26.98 Al.upf
H 1.01 H.upf
Nb 92.91 Nb.upf
CELL_PARAMETERS angstrom
3.182 0.000 0.000
0.000 5.398 0.118
0.000 -0.981 9.224
ATOMIC_POSITIONS crystal
Al 0.750 0.332 0.666
H 0.250 0.004 0.609
Nb 0.750 0.783 0.571
Nb 0.250 0.036 0.833
H 0.750 0.588 0.121
Nb 0.750 0.964 0.167
Nb 0.250 0.217 0.429
Nb 0.750 0.642 0.910
Al 0.250 0.668 0.334
H 0.250 0.412 0.879
Nb 0.250 0.358 0.090
H 0.750 0.996 0.391
! spin magnetization = 0.00 μB per formula unit
! uncorrected energy = -6.72 eV/atom